The following is a GGA-PBE calculation of an optimized crystal structure of CsGa2Tc, from Alexandria via LeMat-Bulk.

Geometry as POSCAR:
```
CsGa2Tc
1.0
-4.142 -3.979 4.349
5.895 -2.773 3.077
0.855 1.205 7.883
Cs Tc Ga
2 2 4
Cartesian
0.000 0.000 0.000
-1.205 -3.075 7.973
0.877 -3.376 3.713
3.813 -2.472 7.336
-0.602 -1.537 3.986
2.344 -2.924 5.525
2.773 -2.322 9.467
0.701 -4.311 11.640
```

Calculated total energy (eV/atom): -3.93
Formation energy (kcal/mol of atoms): 8.9
DOS(E_F) (states/eV per atom): 0.44